{"formula": "NaNd4Hg5", "functional": "PBE", "state": "optimized geometry", "cell": [[3.813, 0.000, 0.000], [0.000, 3.813, 0.000], [0.000, 0.000, 19.222]], "species": ["Na", "Nd", "Nd", "Nd", "Nd", "Hg", "Hg", "Hg", "Hg", "Hg"], "fractional_positions": [[0.000, 0.000, 0.000], [0.000, 0.000, 0.199], [0.000, 0.000, 0.399], [0.000, 0.000, 0.601], [0.000, 0.000, 0.801], [0.500, 0.500, 0.102], [0.500, 0.500, 0.300], [0.500, 0.500, 0.500], [0.500, 0.500, 0.700], [0.500, 0.500, 0.898]], "spacegroup": "P4/mmm, No. 123", "delta_e_f_ev_per_atom": -0.420, "rho_g_cm3": 9.52}